# 1
{"formula": "Mn3HgPb", "functional": "PBE-GGA", "state": "optimized geometry", "cell": [[5.222, 0.000, 0.000], [0.000, 5.222, 0.000], [0.000, 0.000, 5.222]], "species": ["Mn", "Mn", "Mn", "Hg", "Pb"], "fractional_positions": [[0.000, 0.000, 0.500], [0.000, 0.500, 0.000], [0.500, 0.000, 0.000], [0.500, 0.500, 0.500], [0.000, 0.000, 0.000]], "delta_e_f_ev_per_atom": 1.1529, "energy_ev_per_atom": -5.1509, "m_tot_mub_per_cell": 13.04, "n_ef_per_ev_atom": 1.175, "e_above_lowest_polymorph_mev_per_atom": 204}


# 2
{"formula": "Dy4Te7", "functional": "PBE-GGA", "state": "optimized geometry", "cell": [[4.357, 0.000, 0.000], [0.000, 4.357, 0.000], [0.000, 0.000, 17.611]], "species": ["Dy", "Dy", "Dy", "Dy", "Te", "Te", "Te", "Te", "Te", "Te", "Te"], "fractional_positions": [[0.000, 0.500, 0.128], [0.000, 0.500, 0.639], [0.500, 0.000, 0.361], [0.500, 0.000, 0.872], [0.000, 0.000, 0.000], [0.000, 0.000, 0.500], [0.000, 0.500, 0.310], [0.000, 0.500, 0.821], [0.500, 0.000, 0.179], [0.500, 0.000, 0.690], [0.500, 0.500, 0.500]], "energy_ev_per_atom": -4.9167, "e_form_raw_mev_per_atom": -1244, "m_tot_mub_per_cell": 0.00, "n_ef_per_ev_atom": 0.149}


# 3
{"formula": "NpTcRhO6", "functional": "PBE-GGA", "state": "optimized geometry", "cell": [[5.219, 0.000, 0.000], [-2.610, 4.520, 0.000], [0.000, 0.000, 9.075]], "species": ["Np", "Np", "Tc", "Tc", "Rh", "Rh", "O", "O", "O", "O", "O", "O", "O", "O", "O", "O", "O", "O"], "fractional_positions": [[0.333, 0.667, 0.250], [0.667, 0.333, 0.750], [0.333, 0.667, 0.750], [0.667, 0.333, 0.250], [0.000, 0.000, 0.000], [0.000, 0.000, 0.500], [0.011, 0.338, 0.626], [0.011, 0.673, 0.874], [0.327, 0.338, 0.874], [0.327, 0.989, 0.626], [0.338, 0.011, 0.126], [0.338, 0.327, 0.374], [0.662, 0.673, 0.626], [0.662, 0.989, 0.874], [0.673, 0.011, 0.374], [0.673, 0.662, 0.126], [0.989, 0.327, 0.126], [0.989, 0.662, 0.374]], "energy_ev_per_atom": -8.4345, "e_form_raw_mev_per_atom": -1723, "m_tot_mub_per_cell": 2.11, "n_ef_per_ev_atom": 0.678}


# 4
{"formula": "BPd2WAu", "functional": "PBE-GGA", "state": "optimized geometry", "cell": [[4.855, 0.000, 0.000], [0.000, 4.855, 0.000], [0.000, 0.000, 4.121]], "species": ["B", "Pd", "Pd", "W", "Au"], "fractional_positions": [[0.000, 0.000, 0.000], [0.000, 0.500, 0.500], [0.500, 0.000, 0.500], [0.000, 0.000, 0.500], [0.500, 0.500, 0.000]], "delta_e_f_ev_per_atom": 1.3605, "energy_ev_per_atom": -5.2982, "m_tot_mub_per_cell": 0.00, "n_ef_per_ev_atom": 0.761}


# 5
{"formula": "Nd6Ru2N", "functional": "PBE-GGA", "state": "optimized geometry", "cell": [[6.662, 0.000, 0.000], [0.000, 7.355, 0.000], [-6.570, 0.000, 9.631]], "species": ["Nd", "Nd", "Nd", "Nd", "Nd", "Nd", "Nd", "Nd", "Nd", "Nd", "Nd", "Nd", "Ru", "Ru", "Ru", "Ru", "N", "N"], "fractional_positions": [[0.119, 0.049, 0.243], [0.119, 0.451, 0.743], [0.233, 0.691, 0.064], [0.233, 0.809, 0.564], [0.374, 0.167, 0.061], [0.374, 0.333, 0.561], [0.626, 0.667, 0.439], [0.626, 0.833, 0.939], [0.767, 0.191, 0.436], [0.767, 0.309, 0.936], [0.881, 0.549, 0.257], [0.881, 0.951, 0.757], [0.288, 0.099, 0.755], [0.288, 0.401, 0.255], [0.712, 0.599, 0.745], [0.712, 0.901, 0.245], [0.000, 0.000, 0.000], [0.000, 0.500, 0.500]], "energy_ev_per_atom": -6.6041, "e_form_raw_mev_per_atom": -439, "m_tot_mub_per_cell": 0.00, "n_ef_per_ev_atom": 0.754}


# 6
{"formula": "Ag3Cl", "functional": "PBE-GGA", "state": "optimized geometry", "cell": [[6.773, 0.000, 0.000], [0.000, 6.773, 0.000], [0.000, 0.000, 6.773]], "species": ["Ag", "Ag", "Ag", "Ag", "Ag", "Ag", "Ag", "Ag", "Ag", "Ag", "Ag", "Ag", "Cl", "Cl", "Cl", "Cl"], "fractional_positions": [[0.000, 0.000, 0.000], [0.000, 0.500, 0.500], [0.250, 0.250, 0.250], [0.250, 0.250, 0.750], [0.250, 0.750, 0.250], [0.250, 0.750, 0.750], [0.500, 0.000, 0.500], [0.500, 0.500, 0.000], [0.750, 0.250, 0.250], [0.750, 0.250, 0.750], [0.750, 0.750, 0.250], [0.750, 0.750, 0.750], [0.000, 0.000, 0.500], [0.000, 0.500, 0.000], [0.500, 0.000, 0.000], [0.500, 0.500, 0.500]], "energy_ev_per_atom": -2.4349, "e_form_raw_mev_per_atom": 165, "m_tot_mub_per_cell": 0.00, "n_ef_per_ev_atom": 0.322, "e_above_lowest_polymorph_mev_per_atom": 267}


# 7
{"formula": "CaCdHg2", "functional": "PBE-GGA", "state": "optimized geometry", "cell": [[4.672, 0.000, 0.000], [0.000, 4.672, 0.000], [0.000, 0.000, 21.092]], "species": ["Ca", "Ca", "Ca", "Ca", "Cd", "Cd", "Cd", "Cd", "Hg", "Hg", "Hg", "Hg", "Hg", "Hg", "Hg", "Hg"], "fractional_positions": [[0.000, 0.000, 0.000], [0.000, 0.500, 0.250], [0.500, 0.000, 0.750], [0.500, 0.500, 0.500], [0.000, 0.000, 0.500], [0.000, 0.500, 0.750], [0.500, 0.000, 0.250], [0.500, 0.500, 0.000], [0.226, 0.250, 0.625], [0.250, 0.726, 0.875], [0.250, 0.774, 0.375], [0.274, 0.250, 0.125], [0.726, 0.750, 0.125], [0.750, 0.226, 0.375], [0.750, 0.274, 0.875], [0.774, 0.750, 0.625]], "delta_e_f_ev_per_atom": -0.1776, "energy_ev_per_atom": -1.0577, "m_tot_mub_per_cell": 0.00, "n_ef_per_ev_atom": 0.517}


# 8
{"formula": "Cs3Nd2BiTe6", "functional": "PBE-GGA", "state": "optimized geometry", "cell": [[4.054, -7.022, 0.000], [4.054, 7.022, 0.000], [-2.703, 0.000, 8.935]], "species": ["Cs", "Cs", "Cs", "Nd", "Nd", "Bi", "Te", "Te", "Te", "Te", "Te", "Te"], "fractional_positions": [[0.000, 0.000, 0.000], [0.333, 0.667, 0.000], [0.667, 0.333, 0.000], [0.167, 0.833, 0.500], [0.833, 0.167, 0.500], [0.500, 0.500, 0.500], [0.104, 0.435, 0.306], [0.233, 0.233, 0.694], [0.435, 0.104, 0.306], [0.565, 0.896, 0.694], [0.767, 0.767, 0.306], [0.896, 0.565, 0.694]], "energy_ev_per_atom": -4.0472, "e_form_raw_mev_per_atom": -1145, "m_tot_mub_per_cell": 0.00, "n_ef_per_ev_atom": 0.000}


# 9
{"formula": "NaMgCl3", "functional": "PBE-GGA", "state": "optimized geometry", "cell": [[4.992, 0.000, 0.000], [0.000, 4.992, 0.000], [0.000, 0.000, 4.992]], "species": ["Na", "Mg", "Cl", "Cl", "Cl"], "fractional_positions": [[0.000, 0.000, 0.000], [0.500, 0.500, 0.500], [0.000, 0.000, 0.500], [0.000, 0.500, 0.000], [0.500, 0.000, 0.000]], "energy_ev_per_atom": -2.6240, "e_form_raw_mev_per_atom": -933, "m_tot_mub_per_cell": 0.00, "n_ef_per_ev_atom": 0.000, "e_above_lowest_polymorph_mev_per_atom": 897}


# 10
{"formula": "PmMg4Ni2", "functional": "PBE-GGA", "state": "optimized geometry", "cell": [[4.187, 0.000, 0.000], [0.000, 16.051, 0.000], [0.000, 0.000, 4.185]], "species": ["Pm", "Pm", "Mg", "Mg", "Mg", "Mg", "Mg", "Mg", "Mg", "Mg", "Ni", "Ni", "Ni", "Ni"], "fractional_positions": [[0.000, 0.000, 0.000], [0.500, 0.500, 0.000], [0.000, 0.174, 0.500], [0.000, 0.327, 0.000], [0.000, 0.673, 0.000], [0.000, 0.826, 0.500], [0.500, 0.173, 0.000], [0.500, 0.326, 0.500], [0.500, 0.674, 0.500], [0.500, 0.827, 0.000], [0.000, 0.428, 0.500], [0.000, 0.572, 0.500], [0.500, 0.072, 0.500], [0.500, 0.928, 0.500]], "delta_e_f_ev_per_atom": -0.1461, "energy_ev_per_atom": -3.3878, "m_tot_mub_per_cell": 0.00, "n_ef_per_ev_atom": 0.594, "e_above_lowest_polymorph_mev_per_atom": 15}


# 11
{"formula": "La2TbPb2", "functional": "PBE-GGA", "state": "optimized geometry", "cell": [[8.380, 0.000, 0.000], [0.000, 8.380, 0.000], [0.000, 0.000, 4.727]], "species": ["La", "La", "La", "La", "Tb", "Tb", "Pb", "Pb", "Pb", "Pb"], "fractional_positions": [[0.170, 0.330, 0.000], [0.330, 0.830, 0.000], [0.670, 0.170, 0.000], [0.830, 0.670, 0.000], [0.000, 0.000, 0.500], [0.500, 0.500, 0.500], [0.135, 0.635, 0.500], [0.365, 0.135, 0.500], [0.635, 0.865, 0.500], [0.865, 0.365, 0.500]], "delta_e_f_ev_per_atom": -0.5587, "energy_ev_per_atom": -4.9391, "m_tot_mub_per_cell": 0.01, "n_ef_per_ev_atom": 1.171, "e_above_lowest_polymorph_mev_per_atom": 0}


# 12
{"formula": "Y5ErSn6", "functional": "PBE-GGA", "state": "optimized geometry", "cell": [[2.866, -7.027, 0.000], [2.866, 7.027, 0.000], [-1.822, 0.000, 8.287]], "species": ["Y", "Y", "Y", "Y", "Y", "Er", "Sn", "Sn", "Sn", "Sn", "Sn", "Sn"], "fractional_positions": [[0.000, 0.000, 0.000], [0.332, 0.668, 0.000], [0.335, 0.665, 0.500], [0.665, 0.335, 0.500], [0.668, 0.332, 0.000], [0.000, 0.000, 0.500], [0.164, 0.832, 0.252], [0.168, 0.836, 0.748], [0.494, 0.494, 0.751], [0.506, 0.506, 0.249], [0.832, 0.164, 0.252], [0.836, 0.168, 0.748]], "delta_e_f_ev_per_atom": -0.6461, "energy_ev_per_atom": -5.7211, "m_tot_mub_per_cell": 0.00, "n_ef_per_ev_atom": 0.484}